Record 1
Here is crystalline CdIn2Hg3Pb3 at its relaxed geometry from Alexandria via LeMat-Bulk. Energies are from GGA-PBE.

Cell lengths 8.877, 8.877, 3.708 Å; angles 90.00, 90.00, 120.00 degrees
Fractional positions:
Cd 0.000 0.000 0.000
In 0.333 0.667 0.500
In 0.667 0.333 0.500
Hg 0.000 0.621 0.000
Hg 0.379 0.379 0.000
Hg 0.621 0.000 0.000
Pb 0.000 0.282 0.500
Pb 0.282 0.000 0.500
Pb 0.718 0.718 0.500

Computed properties:
volume: 253 Å³ per cell
calculated total energy: -1.995 eV/atom
ΔE_f: 0.05 eV per atom

***

Record 2
Here is crystalline Cd2In2Hg4Pb3 at its relaxed geometry from Alexandria via LeMat-Bulk. Energies are from GGA-PBE.

Cell lengths 5.288, 5.288, 12.723 Å; angles 90.00, 90.00, 120.00 degrees
Fractional positions:
Cd 0.333 0.667 0.124
Cd 0.667 0.333 0.876
In 0.333 0.667 0.613
In 0.667 0.333 0.387
Hg 0.333 0.667 0.372
Hg 0.333 0.667 0.873
Hg 0.667 0.333 0.127
Hg 0.667 0.333 0.628
Pb 0.000 0.000 0.000
Pb 0.000 0.000 0.267
Pb 0.000 0.000 0.733

Computed properties:
volume: 308 Å³ per cell
calculated total energy: -1.741 eV/atom
ΔE_f: 0.04 eV per atom

***

Record 3
Here is crystalline CdInHg2Pb4 at its relaxed geometry from Alexandria via LeMat-Bulk. Energies are from GGA-PBE.

Cell lengths 5.237, 5.505, 7.900 Å; angles 90.00, 90.92, 90.00 degrees
Fractional positions:
Cd 0.000 0.000 0.000
In 0.500 0.500 0.500
Hg 0.000 0.000 0.500
Hg 0.500 0.500 0.000
Pb 0.001 0.500 0.756
Pb 0.499 0.000 0.754
Pb 0.501 0.000 0.246
Pb 0.999 0.500 0.244

Computed properties:
volume: 228 Å³ per cell
calculated total energy: -2.345 eV/atom
ΔE_f: 0.04 eV per atom

***

Record 4
Here is crystalline Cd4InHg2Pb at its relaxed geometry from Alexandria via LeMat-Bulk. Energies are from GGA-PBE.

Cell lengths 8.667, 8.667, 8.667 Å; angles 132.63, 108.02, 90.77 degrees
Fractional positions:
Cd 0.256 0.248 0.491
Cd 0.256 0.765 0.009
Cd 0.257 0.247 0.010
Cd 0.263 0.753 0.510
Cd 0.737 0.247 0.490
Cd 0.743 0.753 0.990
Cd 0.744 0.235 0.991
Cd 0.744 0.752 0.509
In 0.000 0.500 0.500
In 0.500 0.500 0.000
Hg 0.000 0.000 0.000
Hg 0.500 0.000 0.000
Hg 0.500 0.000 0.500
Hg 0.500 0.500 0.500
Pb 0.000 0.000 0.500
Pb 0.000 0.500 0.000

Computed properties:
volume: 432 Å³ per cell
calculated total energy: -1.270 eV/atom
ΔE_f: 0.07 eV per atom

***

Record 5
Here is crystalline Cd2In4Hg3Pb2 at its relaxed geometry from Alexandria via LeMat-Bulk. Energies are from GGA-PBE.

Cell lengths 5.030, 5.030, 14.548 Å; angles 90.00, 90.00, 120.00 degrees
Fractional positions:
Cd 0.333 0.667 0.136
Cd 0.667 0.333 0.864
In 0.333 0.667 0.339
In 0.333 0.667 0.906
In 0.667 0.333 0.094
In 0.667 0.333 0.661
Hg 0.000 0.000 0.000
Hg 0.000 0.000 0.259
Hg 0.000 0.000 0.741
Pb 0.333 0.667 0.564
Pb 0.667 0.333 0.436

Computed properties:
volume: 319 Å³ per cell
calculated total energy: -1.844 eV/atom
ΔE_f: 0.08 eV per atom

***

Record 6
Here is crystalline CdInHgPb at its relaxed geometry from Alexandria via LeMat-Bulk. Energies are from GGA-PBE.

Cell lengths 5.365, 5.365, 5.365 Å; angles 60.00, 60.00, 60.00 degrees
Fractional positions:
Cd 0.000 0.000 0.000
In 0.250 0.250 0.250
Hg 0.500 0.500 0.500
Pb 0.750 0.750 0.750

Computed properties:
volume: 109 Å³ per cell
polymorph energy (0 for the lowest one): 18 kJ/mol of formula units
calculated total energy: -1.836 eV/atom
ΔE_f: 0.08 eV per atom

***

Record 7
Here is crystalline Cd2InHg2Pb at its relaxed geometry from Alexandria via LeMat-Bulk. Energies are from GGA-PBE.

Cell lengths 10.124, 10.124, 10.124 Å; angles 25.65, 25.65, 25.65 degrees
Fractional positions:
Cd 0.229 0.229 0.229
Cd 0.771 0.771 0.771
In 0.000 0.000 0.000
Hg 0.386 0.386 0.386
Hg 0.614 0.614 0.614
Pb 0.500 0.500 0.500

Computed properties:
volume: 171 Å³ per cell
calculated total energy: -1.397 eV/atom
ΔE_f: 0.08 eV per atom

***

Record 8
Here is crystalline Cd2In4HgPb2 at its relaxed geometry from Alexandria via LeMat-Bulk. Energies are from GGA-PBE.

Cell lengths 7.997, 7.997, 7.438 Å; angles 108.27, 108.27, 32.75 degrees
Fractional positions:
Cd 0.171 0.171 0.005
Cd 0.829 0.829 0.995
In 0.054 0.054 0.308
In 0.279 0.279 0.670
In 0.721 0.721 0.330
In 0.946 0.946 0.692
Hg 0.500 0.500 0.000
Pb 0.389 0.389 0.331
Pb 0.611 0.611 0.669

Computed properties:
volume: 243 Å³ per cell
calculated total energy: -2.247 eV/atom
ΔE_f: 0.03 eV per atom

***

| no. | magnetization (μB/cell) |
| --- | --- |
| 1 | 0.000 |
| 2 | 0.000 |
| 3 | 0.000 |
| 4 | 0.000 |
| 5 | 0.000 |
| 6 | 0.000 |
| 7 | 0.000 |
| 8 | 0.000 |